Record 1
Material: AcDyAs2Pd5
Method: DFT, GGA-PBE
State: optimized geometry

Computed properties:
Crystal system: tetragonal
DOS at the Fermi energy, states/eV/atom: 0.231
SG: P4/mmm (123)
Formation energy, eV/atom: -0.767
Uncorrected energy, eV/cell: -50.87

Cell lengths 4.3708, 4.3708, 9.2574 Å; angles 90.00, 90.00, 90.00 degrees
Sites, in units of the cell vectors:
Ac 0.0000 0.0000 0.5000
Dy 0.0000 0.0000 0.0000
As 0.5000 0.5000 0.1357
As 0.5000 0.5000 0.8643
Pd 0.0000 0.5000 0.2621
Pd 0.5000 0.0000 0.2621
Pd 0.0000 0.5000 0.7379
Pd 0.5000 0.0000 0.7379
Pd 0.5000 0.5000 0.5000

=====

Record 2
Material: Ac2DyAs4Pd3
Method: DFT, GGA-PBE
State: optimized geometry

Computed properties:
Crystal system: tetragonal
DOS at the Fermi energy, states/eV/atom: 0.288
SG: P-4m2 (115)
Formation energy, eV/atom: -1.011
Uncorrected energy, eV/cell: -57.10

Cell lengths 4.5540, 4.5540, 10.9467 Å; angles 90.00, 90.00, 90.00 degrees
Sites, in units of the cell vectors:
Ac 0.5000 0.0000 0.2189
Ac 0.0000 0.5000 0.7811
Dy 0.5000 0.5000 0.5000
As 0.5000 0.5000 0.0000
As 0.0000 0.0000 0.0000
As 0.5000 0.0000 0.6518
As 0.0000 0.5000 0.3482
Pd 0.0000 0.0000 0.5000
Pd 0.5000 0.0000 0.8878
Pd 0.0000 0.5000 0.1122

=====

Record 3
Material: AcPrDy2As4
Method: DFT, GGA-PBE
State: optimized geometry

Computed properties:
Crystal system: monoclinic
DOS at the Fermi energy, states/eV/atom: 0.107
SG: P2/m (10)
Formation energy, eV/atom: -1.482
Uncorrected energy, eV/cell: -48.55

Cell lengths 4.2791, 7.4043, 7.4124 Å; angles 70.56, 90.00, 90.00 degrees
Sites, in units of the cell vectors:
Ac 0.5000 0.5000 0.0000
Pr 0.0000 0.5000 0.5000
Dy 0.0000 0.0000 0.0000
Dy 0.5000 0.0000 0.5000
As 0.0000 0.7694 0.7382
As 0.0000 0.2306 0.2618
As 0.5000 0.7652 0.2501
As 0.5000 0.2348 0.7499

=====

Record 4
Material: AcDyAs2Pt2
Method: DFT, GGA-PBE
State: optimized geometry

Computed properties:
Crystal system: trigonal
DOS at the Fermi energy, states/eV/atom: 0.349
SG: P-3m1 (164)
Formation energy, eV/atom: -1.243
Uncorrected energy, eV/cell: -37.55

Cell lengths 4.3851, 4.3851, 8.0698 Å; angles 90.00, 90.00, 120.00 degrees
Sites, in units of the cell vectors:
Ac 0.0000 0.0000 0.0000
Dy 0.0000 0.0000 0.5000
As 0.3333 0.6667 0.2628
As 0.6667 0.3333 0.7372
Pt 0.3333 0.6667 0.7218
Pt 0.6667 0.3333 0.2782

=====

Record 5
Material: Ac2DyAs4Pt3
Method: DFT, GGA-PBE
State: optimized geometry

Computed properties:
Crystal system: tetragonal
DOS at the Fermi energy, states/eV/atom: 0.328
SG: P-4m2 (115)
Formation energy, eV/atom: -1.026
Uncorrected energy, eV/cell: -59.80

Cell lengths 4.5509, 4.5509, 10.8742 Å; angles 90.00, 90.00, 90.00 degrees
Sites, in units of the cell vectors:
Ac 0.5000 0.0000 0.2249
Ac 0.0000 0.5000 0.7751
Dy 0.5000 0.5000 0.5000
As 0.5000 0.5000 0.0000
As 0.0000 0.0000 0.0000
As 0.5000 0.0000 0.6518
As 0.0000 0.5000 0.3482
Pt 0.0000 0.0000 0.5000
Pt 0.5000 0.0000 0.8892
Pt 0.0000 0.5000 0.1108

=====

Record 6
Material: AcDy2PuAs4
Method: DFT, GGA-PBE
State: optimized geometry

Computed properties:
Crystal system: monoclinic
DOS at the Fermi energy, states/eV/atom: 1.852
SG: P2/m (10)
Formation energy, eV/atom: -1.337
Uncorrected energy, eV/cell: -56.94

Cell lengths 4.2428, 7.3426, 7.3396 Å; angles 70.57, 90.00, 90.00 degrees
Each line ends with the local moment (μB).
Sites, in units of the cell vectors:
Ac 0.5000 0.5000 0.0000  0.00
Dy 0.0000 0.0000 0.0000  -0.02
Dy 0.5000 0.0000 0.5000  0.00
Pu 0.0000 0.5000 0.5000  5.09
As 0.0000 0.7662 0.7338  -0.05
As 0.0000 0.2338 0.2662  -0.05
As 0.5000 0.7574 0.2587  -0.08
As 0.5000 0.2426 0.7413  -0.08

=====

Record 7
Material: AcDyAsS
Method: DFT, GGA-PBE
State: optimized geometry

Computed properties:
Crystal system: trigonal
DOS at the Fermi energy, states/eV/atom: 0.605
SG: R3m (160)
Uncorrected energy, eV/cell: -23.90
E_form (uncorrected), eV/atom: -1.60

Cell lengths 4.1285, 4.1280, 7.7817 Å; angles 90.01, 105.37, 119.99 degrees
Sites, in units of the cell vectors:
Ac 0.1295 0.9628 0.1076
Dy 0.4782 0.1369 0.6304
As 0.2885 0.5422 0.8460
S 0.9817 0.3890 0.3857

=====

Record 8
Material: AcSm2DyAs4
Method: DFT, GGA-PBE
State: optimized geometry

Computed properties:
Crystal system: monoclinic
DOS at the Fermi energy, states/eV/atom: 0.092
SG: P2/m (10)
Formation energy, eV/atom: -1.477
Uncorrected energy, eV/cell: -48.56

Cell lengths 4.2829, 7.4163, 7.4135 Å; angles 70.63, 90.00, 90.00 degrees
Sites, in units of the cell vectors:
Ac 0.5000 0.5000 0.0000
Sm 0.0000 0.0000 0.0000
Sm 0.5000 0.0000 0.5000
Dy 0.0000 0.5000 0.5000
As 0.0000 0.7598 0.7361
As 0.0000 0.2402 0.2639
As 0.5000 0.7518 0.2594
As 0.5000 0.2482 0.7406

=====

Among the records above, which one has the highest DOS at the Fermi energy?
AcDy2PuAs4

=====

DOS at the Fermi energy of number 7 (AcDyAsS)?
0.605 states/eV/atom